Entry 1:
Ti6Pd3Rh | PBE | optimized geometry Values from VASP.

Properties
Symmetry   P2_1/c
Calculated density   6.97 Mg/m³
DFT formation energy   -0.2557 eV/atom

The structure in Quantum ESPRESSO input format:
```
&SYSTEM
  ibrav = 0, nat = 20, ntyp = 3
/
ATOMIC_SPECIES
Pd 106.42 Pd.upf
Ti 47.87 Ti.upf
Rh 102.91 Rh.upf
CELL_PARAMETERS angstrom
4.8794 0.0000 -0.0449
0.0000 7.9607 0.0000
0.0296 0.0000 8.6960
ATOMIC_POSITIONS crystal
Pd 0.0000 0.0000 0.5000
Pd 0.8454 0.4116 0.7533
Pd 0.5000 0.5000 0.0000
Pd 0.6546 0.9116 0.7467
Pd 0.1546 0.5884 0.2467
Pd 0.3454 0.0884 0.2533
Ti 0.5665 0.1739 0.9496
Ti 0.4379 0.8162 0.4427
Ti 0.9335 0.6739 0.5504
Ti 0.9379 0.6838 0.9427
Ti 0.3794 0.6271 0.7450
Ti 0.5621 0.1838 0.5573
Ti 0.4335 0.8261 0.0504
Ti 0.0621 0.3162 0.0573
Ti 0.6206 0.3729 0.2550
Ti 0.8794 0.8729 0.2450
Ti 0.0665 0.3261 0.4496
Ti 0.1206 0.1271 0.7550
Rh 0.0000 0.0000 0.0000
Rh 0.5000 0.5000 0.5000
```

---

Entry 2:
Hg2TeH2 | PBE | optimized geometry Values from VASP.

Properties
Excess energy over the best structure of this formula in the dataset   0.483 eV per atom
Symmetry   I4/mmm
Calculated density   9.93 Mg/m³

The structure in Quantum ESPRESSO input format:
```
&SYSTEM
  ibrav = 0, nat = 5, ntyp = 3
/
ATOMIC_SPECIES
Hg 200.59 Hg.upf
Te 127.60 Te.upf
H 1.01 H.upf
CELL_PARAMETERS angstrom
3.7131 0.0000 0.0000
0.0000 3.7131 0.0000
1.8566 1.8566 6.4348
ATOMIC_POSITIONS crystal
Hg 0.3413 0.3413 0.3173
Hg 0.6587 0.6587 0.6827
Te 0.0000 0.0000 0.0000
H 0.2500 0.7500 0.5000
H 0.7500 0.2500 0.5000
```

---

Entry 3:
KTl2Sn6 | PBE | optimized geometry Values from VASP.

Properties
Excess energy over the best structure of this formula in the dataset   0.014 eV per atom
Symmetry   P4/mmm
Calculated density   6.75 Mg/m³
DFT formation energy   -0.0120 eV/atom

The structure in Quantum ESPRESSO input format:
```
&SYSTEM
  ibrav = 0, nat = 9, ntyp = 3
/
ATOMIC_SPECIES
Sn 118.71 Sn.upf
Tl 204.38 Tl.upf
K 39.10 K.upf
CELL_PARAMETERS angstrom
-1.2064 -3.7628 -2.9108
3.4295 -2.7690 2.1581
-7.9562 -3.6283 7.9880
ATOMIC_POSITIONS crystal
Sn 0.0000 0.5000 0.3107
Sn 0.0000 0.0000 0.5000
Sn 0.5000 0.5000 0.5000
Sn 0.5000 0.0000 0.3107
Sn 0.0000 0.5000 0.6893
Sn 0.5000 0.0000 0.6893
Tl 0.5000 0.5000 0.8635
Tl 0.5000 0.5000 0.1365
K 0.0000 0.0000 0.0000
```

---

Entry 4:
LaPmY6Ho2 | PBE | optimized geometry Values from VASP.

Properties
Symmetry   C2/c
Calculated density   5.73 Mg/m³
DFT formation energy   0.1202 eV/atom

The structure in Quantum ESPRESSO input format:
```
&SYSTEM
  ibrav = 0, nat = 20, ntyp = 4
/
ATOMIC_SPECIES
Y 88.91 Y.upf
La 138.91 La.upf
Ho 164.93 Ho.upf
Pm 145.00 Pm.upf
CELL_PARAMETERS angstrom
9.1375 -1.9382 -2.0114
0.8797 8.5959 -1.9624
0.8797 -2.2796 8.5173
ATOMIC_POSITIONS crystal
Y 0.1797 0.5591 0.0141
Y 0.8870 0.2936 0.5166
Y 0.3870 0.5166 0.2936
Y 0.9422 0.8821 0.2455
Y 0.8203 0.4409 0.9859
Y 0.6130 0.4834 0.7064
Y 0.5578 0.7545 0.1179
Y 0.0578 0.1179 0.7545
Y 0.4422 0.2455 0.8821
Y 0.6797 0.0141 0.5591
Y 0.1130 0.7064 0.4834
Y 0.3203 0.9859 0.4409
La 0.7500 0.0326 0.9674
La 0.2500 0.9674 0.0326
Ho 0.9480 0.6998 0.8032
Ho 0.0520 0.3002 0.1968
Ho 0.4480 0.8032 0.6998
Ho 0.5520 0.1968 0.3002
Pm 0.7500 0.5893 0.4107
Pm 0.2500 0.4107 0.5893
```

---

no.,Fermi-level density of states (states/eV/atom)
1,1.486
2,0.450
3,0.289
4,1.601